{"formula": "LiYMo", "functional": "PBEsol", "state": "relaxed", "lattice_angstrom": [[-1.472, 1.949, 4.833], [1.472, -1.949, 4.833], [1.472, 1.949, -4.833]], "species": ["Li", "Y", "Mo"], "fractional_positions": [[0.000, 0.000, 0.000], [0.313, 0.313, 0.000], [0.633, 0.633, 0.000]], "e_tot_ry_per_atom": -0.4617, "magnetic_moment_mub_per_fu": 0.00, "dos_ef_per_ev_atom": 0.723, "e_form_ev_per_atom": 0.57}